Entry 1:
Crystalline MgZrCuAs at its relaxed geometry, computed with GGA-PBE.

a = 4.6599 Å, b = 4.6599 Å, c = 4.6599 Å
α = 60.00°, β = 60.00°, γ = 60.00°
Element x y z (fractional)
Mg1 0.0000 0.0000 0.0000
Zr1 0.2500 0.2500 0.2500
Cu1 0.7500 0.7500 0.7500
As1 0.5000 0.5000 0.5000

Excess energy over the best structure of this formula in the dataset, eV per atom: 0.0000


Entry 2:
Crystalline HfNpTl at its relaxed geometry, computed with GGA-PBE.

a = 4.9980 Å, b = 4.9980 Å, c = 4.9980 Å
α = 60.00°, β = 60.00°, γ = 60.00°
Element x y z (fractional)
Hf1 0.0000 0.0000 0.0000
Np1 0.5000 0.5000 0.5000
Tl1 0.2500 0.2500 0.2500

Excess energy over the best structure of this formula in the dataset, eV per atom: 0.0000


Entry 3:
Crystalline Tb2Ga5Pt3 at its relaxed geometry, computed with GGA-PBE.

a = 8.6376 Å, b = 8.6376 Å, c = 8.6376 Å
α = 106.85°, β = 86.02°, γ = 141.20°
Element x y z (fractional)
Tb1 0.1401 0.2240 0.3641
Tb2 0.3599 0.7240 0.0839
Tb3 0.6401 0.2760 0.9161
Tb4 0.8599 0.7760 0.6359
Ga1 0.0393 0.7500 0.2893
Ga2 0.0975 0.6667 0.7642
Ga3 0.2500 0.2500 0.0000
Ga4 0.4025 0.1667 0.5693
Ga5 0.4607 0.7500 0.7107
Ga6 0.5393 0.2500 0.2893
Ga7 0.5975 0.8333 0.4307
Ga8 0.7500 0.7500 0.0000
Ga9 0.9025 0.3333 0.2358
Ga10 0.9607 0.2500 0.7107
Pt1 0.1449 0.8981 0.0430
Pt2 0.2500 0.7500 0.5000
Pt3 0.3551 0.3981 0.7532
Pt4 0.6449 0.6019 0.2468
Pt5 0.7500 0.2500 0.5000
Pt6 0.8551 0.1019 0.9570

Total energy, eV per atom: -5.146


Entry 4:
Crystalline Li2GePd at its relaxed geometry, computed with GGA-PBE.

a = 4.2822 Å, b = 4.2822 Å, c = 4.2822 Å
α = 60.00°, β = 60.00°, γ = 60.00°
Element x y z (fractional)
Li1 0.0000 0.0000 0.0000
Li2 0.2500 0.2500 0.2500
Ge1 0.5000 0.5000 0.5000
Pd1 0.7500 0.7500 0.7500

Total energy, eV per atom: -3.959


Entry 5:
Crystalline TaCoB at its relaxed geometry, computed with GGA-PBE.

a = 3.2883 Å, b = 16.9771 Å, c = 5.8892 Å
α = 90.00°, β = 90.00°, γ = 90.00°
Element x y z (fractional)
Ta1 0.2500 0.0709 0.0285
Ta2 0.2500 0.1252 0.5218
Ta3 0.2500 0.2500 0.1442
Ta4 0.2500 0.3748 0.5218
Ta5 0.2500 0.4291 0.0285
Ta6 0.7500 0.5709 0.9715
Ta7 0.7500 0.6252 0.4782
Ta8 0.7500 0.7500 0.8558
Ta9 0.7500 0.8748 0.4782
Ta10 0.7500 0.9291 0.9715
Co1 0.2500 0.5240 0.6442
Co2 0.2500 0.6786 0.1503
Co3 0.2500 0.7500 0.5071
Co4 0.2500 0.8214 0.1503
Co5 0.2500 0.9760 0.6442
Co6 0.7500 0.0240 0.3558
Co7 0.7500 0.1786 0.8497
Co8 0.7500 0.2500 0.4929
Co9 0.7500 0.3214 0.8497
Co10 0.7500 0.4760 0.3558
B1 0.2500 0.2500 0.7319
B2 0.2500 0.5485 0.2672
B3 0.2500 0.6495 0.7707
B4 0.2500 0.8505 0.7707
B5 0.2500 0.9515 0.2672
B6 0.7500 0.0485 0.7328
B7 0.7500 0.1495 0.2293
B8 0.7500 0.3505 0.2293
B9 0.7500 0.4515 0.7328
B10 0.7500 0.7500 0.2681

Total energy, eV per atom: -9.163


Entry 6:
Crystalline Li2Mg2TlSnPd2 at its relaxed geometry, computed with GGA-PBE.

a = 4.6297 Å, b = 4.6297 Å, c = 6.5284 Å
α = 90.00°, β = 90.00°, γ = 90.00°
Element x y z (fractional)
Li1 0.0000 0.5000 0.2501
Li2 0.5000 0.0000 0.7499
Mg1 0.0000 0.0000 0.0000
Mg2 0.5000 0.5000 0.5000
Tl1 0.0000 0.0000 0.5000
Sn1 0.5000 0.5000 0.0000
Pd1 0.0000 0.5000 0.7640
Pd2 0.5000 0.0000 0.2360

Total energy, eV per atom: -3.454


Entry 7:
Crystalline TbCo2BP at its relaxed geometry, computed with GGA-PBE.

a = 5.4892 Å, b = 5.4892 Å, c = 5.4892 Å
α = 141.08°, β = 141.08°, γ = 56.21°
Element x y z (fractional)
Tb1 0.0000 0.0000 0.0000
Co1 0.2363 0.7363 0.5000
Co2 0.7363 0.2363 0.5000
B1 0.6404 0.6404 0.0000
P1 0.3659 0.3659 0.0000

Total energy, eV per atom: -6.974


Entry 8:
Crystalline TmNiP2 at its relaxed geometry, computed with GGA-PBE.

a = 8.0047 Å, b = 8.0047 Å, c = 8.0047 Å
α = 147.88°, β = 147.88°, γ = 46.07°
Element x y z (fractional)
Tm1 0.0000 0.0000 0.0000
Tm2 0.7500 0.2500 0.5000
Ni1 0.2500 0.7500 0.5000
Ni2 0.5000 0.5000 0.0000
P1 0.2726 0.1250 0.6476
P2 0.3750 0.7274 0.8524
P3 0.4774 0.6250 0.3524
P4 0.8750 0.5226 0.1476

Total energy, eV per atom: -5.880


| no. | theoretical density (kg/m3) |
| --- | --- |
| 1 | 5895 |
| 2 | 11660 |
| 3 | 11145 |
| 4 | 5770 |
| 5 | 12662 |
| 6 | 7101 |
| 7 | 8169 |
| 8 | 6655 |